4
Lattice="4.6696 0.0000 0.0000 0.0000 4.6696 0.0000 0.0000 0.0000 3.2663" Properties=species:S:1:pos:R:3 comment="PBE NiSb2Rh, relaxed" rho_g_cm3=9.45 crystal_system=tetragonal magnetic_moment_mub_per_cell=0.0 dft_energy_ev_per_cell=-21.485 e_form_raw_kj_per_mol_fu=-10.4 pbc="T T T"
Ni 0.0000 0.0000 0.0000
Sb 0.0000 2.3348 1.6331
Sb 2.3348 0.0000 1.6331
Rh 2.3348 2.3348 0.0000